(1)
Bi2IBr (GGA-PBE, relaxed); energy above the most stable polymorph in this dataset = 476 meV per atom; calculated volume = 34.55 Å³ per atom; space-group type = I-42d (122); ΔE_f (raw) = 0.101 eV per atom
1.0
-6.6598 5.7315 1.1458
-4.5664 -4.0179 -6.4436
-7.0626 -1.3020 -0.2756
I Bi Br
2 4 2
Cartesian
0.0000 0.0000 0.0000
-9.6678 2.6431 -0.8893
-6.4513 2.7135 -0.1664
-5.4998 -2.0793 -3.9447
-9.5395 -0.3626 -2.2394
-15.0873 0.5516 -4.7962
-5.6131 0.8568 -2.6489
-8.6211 -2.2315 -4.6840

***

(2)
Bi3IBr (GGA-PBE, relaxed); energy above the most stable polymorph in this dataset = 141 meV per atom; calculated volume = 42.85 Å³ per atom; space-group type = Pm-3m (221); ΔE_f (raw) = 0.864 eV per atom
1.0
-2.7919 -5.2916 -0.0886
2.2775 -1.2917 5.3804
-4.7773 2.4767 2.6168
I Bi Br
1 3 1
Cartesian
0.0000 0.0000 0.0000
-1.3959 -2.6458 -0.0443
-2.3886 1.2384 1.3084
1.1388 -0.6458 2.6902
-2.6458 -2.0533 3.9543

***

What is the calculated volume in the first record?
34.55 Å³ per atom